No. 1
A relaxed structure of Li3MnF7. Source: Alexandria via LeMat-Bulk, functional GGA-PBEsol.

Geometry as POSCAR:
```
Li3MnF7
1.0
-2.6007 -0.9215 4.8537
0.0575 -5.3192 1.6953
3.4047 -1.0322 4.3028
Mn Li F
1 3 7
Direct
0.0029 0.0029 0.0029
0.1000 0.6215 0.6215
0.6215 0.6215 0.1000
0.6215 0.1000 0.6215
0.2086 0.7853 0.7853
0.7853 0.7853 0.2086
0.7853 0.2086 0.7853
0.7438 0.7438 0.7438
0.7921 0.2311 0.2311
0.2311 0.7921 0.2311
0.2311 0.2311 0.7921
```

E_tot (eV per atom): -5.315
Raw formation energy (eV per atom): -2.6647

No. 2
A relaxed structure of KLa2Fe. Source: Alexandria via LeMat-Bulk, functional GGA-PBEsol.

Geometry as POSCAR:
```
KLa2Fe
1.0
3.4906 0.0000 0.0000
0.0000 3.4906 0.0000
0.0000 0.0000 10.7062
Fe K La
1 1 2
Direct
0.5000 0.5000 0.0000
0.5000 0.5000 0.5000
0.0000 0.0000 0.8486
0.0000 0.0000 0.1514
```

E_tot (eV per atom): -4.939
Excess energy over the best structure of this formula in the dataset (meV/atom): 57.0

No. 3
A relaxed structure of Sr2TcRu. Source: Alexandria via LeMat-Bulk, functional GGA-PBEsol.

Geometry as POSCAR:
```
Sr2TcRu
1.0
4.2863 0.0000 0.0000
0.0000 4.2920 0.0000
-2.1432 -2.1460 4.7017
Ru Sr Tc
1 2 1
Direct
0.5000 0.0000 0.0000
0.7502 0.7502 0.5004
0.2498 0.2498 0.4996
0.0000 0.5000 0.0000
```

E_tot (eV per atom): -5.142
Excess energy over the best structure of this formula in the dataset (meV/atom): 0.0

No. 4
A relaxed structure of Tc2AgRu. Source: Alexandria via LeMat-Bulk, functional GGA-PBEsol.

Geometry as POSCAR:
```
Tc2AgRu
1.0
-2.6534 2.3955 -1.1382
-0.3810 -1.9376 -3.1898
-1.3123 -2.5364 3.9036
Ag Ru Tc
1 1 2
Direct
0.5000 0.5000 0.0000
0.0000 0.0000 0.0000
0.7500 0.2500 0.5000
0.2500 0.7500 0.5000
```

E_tot (eV per atom): -8.527
Excess energy over the best structure of this formula in the dataset (meV/atom): 167.7

No. 5
A relaxed structure of ScCrAu4. Source: Alexandria via LeMat-Bulk, functional GGA-PBEsol.

Geometry as POSCAR:
```
ScCrAu4
1.0
5.3693 0.0000 0.0000
2.6846 4.6499 0.0000
2.6846 1.5500 4.3840
Au Cr Sc
4 1 1
Direct
0.3751 0.3751 0.3751
0.3751 0.3751 0.8746
0.8746 0.3751 0.3751
0.3751 0.8746 0.3751
0.7500 0.7500 0.7500
0.0000 0.0000 0.0000
```

E_tot (eV per atom): -5.511

No. 6
A relaxed structure of Dy4CdPt. Source: Alexandria via LeMat-Bulk, functional GGA-PBEsol.

Geometry as POSCAR:
```
Dy4CdPt
1.0
9.5023 0.0000 0.0000
4.7511 8.2292 0.0000
4.7511 2.7431 7.7586
Dy Cd Pt
16 4 4
Direct
0.8972 0.8972 0.3085
0.3085 0.8972 0.8972
0.8972 0.8972 0.8972
0.8972 0.3085 0.8972
0.0596 0.4404 0.4404
0.4404 0.0596 0.0596
0.0596 0.0596 0.4404
0.4404 0.4404 0.0596
0.4404 0.0596 0.4404
0.0596 0.4404 0.0596
0.6859 0.3141 0.3141
0.3141 0.6859 0.6859
0.6859 0.6859 0.3141
0.3141 0.3141 0.6859
0.3141 0.6859 0.3141
0.6859 0.3141 0.6859
0.6686 0.6686 0.9942
0.9942 0.6686 0.6686
0.6686 0.6686 0.6686
0.6686 0.9942 0.6686
0.1064 0.1064 0.6809
0.6809 0.1064 0.1064
0.1064 0.1064 0.1064
0.1064 0.6809 0.1064
```

E_tot (eV per atom): -5.289